First-principles (PBE-GGA) data for a relaxed structure of Mg14ZrC, as listed in the Alexandria database.

Computed properties:
Its magnetization is 0.00 μB per cell. For the energy above the most stable polymorph in this dataset, the calculation gives 52 meV/atom. The value obtained for the formation energy is 266.1 meV/atom. As for the space group: P-6m2 (187).

Lattice parameters (Å, degrees): 6.3180 6.3180 9.7967 90.00 90.00 120.00
Fractional positions:
Zr 0.0000 0.0000 0.0000
Mg 0.0150 0.5075 0.0000
Mg 0.6914 0.8457 0.7317
Mg 0.5052 0.0103 0.5000
Mg 0.6914 0.8457 0.2683
Mg 0.1543 0.8457 0.2683
Mg 0.5052 0.4948 0.5000
Mg 0.1543 0.3086 0.2683
Mg 0.6667 0.3333 0.7621
Mg 0.9897 0.4948 0.5000
Mg 0.6667 0.3333 0.2379
Mg 0.4925 0.5075 0.0000
Mg 0.1543 0.3086 0.7317
C 0.0000 0.0000 0.5000
Mg 0.1543 0.8457 0.7317
Mg 0.4925 0.9850 0.0000